(1)
# DyGa3Co PBE-GGA optimized geometry
# - E above lowest polymorph (meV per atom) = 183.9
# - volume (A^3/atom) = 18.60
# - ΔE_f (eV per atom) = -0.34
# - total DFT energy (no corrections) (eV/cell) = -22.5
data_DyGa3Co
_symmetry_space_group_name_H-M 'P m -3 m'
_symmetry_Int_Tables_number 221
_symmetry_space_group_name_Hall '-P 4 2 3'
_cell_length_a 4.531
_cell_length_b 4.531
_cell_length_c 4.531
_cell_angle_alpha 90.00
_cell_angle_beta 90.00
_cell_angle_gamma 90.00
loop_
_atom_site_label
_atom_site_fract_x
_atom_site_fract_y
_atom_site_fract_z
_atom_site_occupancy
Dy1 0.000 0.000 0.000 1
Ga1 0.000 0.500 0.500 1
Co1 0.500 0.500 0.500 1

=====

(2)
# ScHg2P PBE-GGA optimized geometry
# - volume (A^3/atom) = 23.34
# - ΔE_f (eV per atom) = -0.37
# - total DFT energy (no corrections) (eV/cell) = -27.6
data_ScHg2P
_symmetry_space_group_name_H-M 'C 1 m 1'
_symmetry_Int_Tables_number 8
_symmetry_space_group_name_Hall 'C -2y'
_cell_length_a 6.967
_cell_length_b 4.020
_cell_length_c 7.065
_cell_angle_alpha 90.00
_cell_angle_beta 109.30
_cell_angle_gamma 90.00
loop_
_atom_site_label
_atom_site_fract_x
_atom_site_fract_y
_atom_site_fract_z
_atom_site_occupancy
Sc1 0.000 0.000 0.000 1
Hg1 0.193 0.000 0.578 1
Hg2 0.430 0.000 0.289 1
P1 0.109 0.500 0.828 1

=====

(3)
# BC2 PBE-GGA optimized geometry
# - E above lowest polymorph (meV per atom) = 86.3
# - volume (A^3/atom) = 6.39
# - ΔE_f (eV per atom) = 0.33
# - total DFT energy (no corrections) (eV/cell) = -48.3
data_BC2
_symmetry_space_group_name_H-M 'P -3 m 1'
_symmetry_Int_Tables_number 164
_symmetry_space_group_name_Hall '-P 3 2"'
_cell_length_a 2.6129
_cell_length_b 2.6129
_cell_length_c 6.4846
_cell_angle_alpha 90.00
_cell_angle_beta 90.00
_cell_angle_gamma 120.00
loop_
_atom_site_label
_atom_site_fract_x
_atom_site_fract_y
_atom_site_fract_z
_atom_site_occupancy
B1 0.3333 0.6667 0.2121 1
C1 0.0000 0.0000 0.1097 1
C2 0.3333 0.6667 0.4651 1

=====

(4)
# TbNdCuNi PBE-GGA optimized geometry
# - E above lowest polymorph (meV per atom) = 48.3
# - volume (A^3/atom) = 21.30
# - ΔE_f (eV per atom) = -0.24
# - total DFT energy (no corrections) (eV/cell) = -80.9
data_TbNdCuNi
_symmetry_space_group_name_H-M 'F -4 3 m'
_symmetry_Int_Tables_number 216
_symmetry_space_group_name_Hall 'F -4 2 3'
_cell_length_a 6.985
_cell_length_b 6.985
_cell_length_c 6.985
_cell_angle_alpha 90.00
_cell_angle_beta 90.00
_cell_angle_gamma 90.00
loop_
_atom_site_label
_atom_site_fract_x
_atom_site_fract_y
_atom_site_fract_z
_atom_site_occupancy
Tb1 0.000 0.000 0.000 1
Nd1 0.000 0.000 0.500 1
Cu1 0.250 0.250 0.750 1
Ni1 0.250 0.250 0.250 1